1.
VASP calculation (SCAN) on Zn12Au17 at its PBEsol-relaxed geometry.

Computed properties:
**Calculated total energy**: -46.284 eV/atom
**Energy of formation**: -0.152 eV/atom

a b c (Å): 9.683 9.683 9.683
angles (deg): 90.00 90.00 90.00
Space group I-43m (No. 217)
One atom of each set of equivalent atoms:
1 Zn 0.094 0.094 0.284
2 Au 0.000 0.000 0.000
3 Au 0.051 0.359 0.359
4 Au 0.164 0.164 0.836

2.
VASP calculation (SCAN) on LaSb3O9 at its PBEsol-relaxed geometry.

Computed properties:
**Calculated total energy**: -18.246 eV/atom
**Energy relative to the elements, uncorrected**: -2.02 eV/atom

a b c (Å): 6.565 8.891 11.803
angles (deg): 90.00 90.00 90.00
Space group Cmcm (No. 63)
One atom of each set of equivalent atoms:
1 La 0.000 0.244 0.250
2 Sb 0.000 0.123 0.592
3 Sb 0.000 0.500 0.000
4 O 0.000 0.055 0.750
5 O 0.000 0.104 0.075
6 O 0.000 0.338 0.618
7 O 0.195 0.385 0.099

3.
VASP calculation (SCAN) on Y2TlHg at its PBEsol-relaxed geometry.

Computed properties:
**Calculated total energy**: -49.090 eV/atom
**Energy of formation**: -0.037 eV/atom

a b c (Å): 7.460 7.460 7.460
angles (deg): 90.00 90.00 90.00
Space group F-43m (No. 216)
One atom of each set of equivalent atoms:
1 Y 0.000 0.000 0.000
2 Y 0.250 0.250 0.250
3 Tl 0.000 0.000 0.500
4 Hg 0.250 0.250 0.750

4.
VASP calculation (SCAN) on HfZr2Zn2 at its PBEsol-relaxed geometry.

Computed properties:
**Calculated total energy**: -30.441 eV/atom
**Energy of formation**: -0.220 eV/atom

a b c (Å): 7.537 7.537 3.309
angles (deg): 90.00 90.00 90.00
Space group P4/mbm (No. 127)
One atom of each set of equivalent atoms:
1 Hf 0.000 0.000 0.000
2 Zr 0.177 0.323 0.500
3 Zn 0.121 0.621 0.000

5.
VASP calculation (SCAN) on Ga3RhSe at its PBEsol-relaxed geometry.

Computed properties:
**Calculated total energy**: -20.802 eV/atom
**Energy relative to the elements, uncorrected**: -0.22 eV/atom

a b c (Å): 4.714 4.714 4.714
angles (deg): 90.00 90.00 90.00
Space group Pm-3m (No. 221)
One atom of each set of equivalent atoms:
1 Ga 0.000 0.000 0.500
2 Rh 0.000 0.000 0.000
3 Se 0.500 0.500 0.500

6.
VASP calculation (SCAN) on Ba2RuCl at its PBEsol-relaxed geometry.

Computed properties:
**Calculated total energy**: -30.910 eV/atom
**Distance to the lowest polymorph of the same formula**: 0.41 eV per formula unit
**Energy relative to the elements, uncorrected**: -0.43 eV/atom

a b c (Å): 7.641 7.641 7.641
angles (deg): 90.00 90.00 90.00
Space group Fm-3m (No. 225)
One atom of each set of equivalent atoms:
1 Ba 0.250 0.250 0.250
2 Ru 0.000 0.000 0.000
3 Cl 0.000 0.000 0.500

7.
VASP calculation (SCAN) on YCu4Pt at its PBEsol-relaxed geometry.

Computed properties:
**Calculated total energy**: -26.914 eV/atom
**Energy of formation**: -0.442 eV/atom

a b c (Å): 6.942 6.942 6.942
angles (deg): 90.00 90.00 90.00
Space group F-43m (No. 216)
One atom of each set of equivalent atoms:
1 Y 0.000 0.000 0.000
2 Cu 0.124 0.124 0.376
3 Pt 0.250 0.250 0.750

8.
VASP calculation (SCAN) on GaTcTeO2 at its PBEsol-relaxed geometry.

Computed properties:
**Calculated total energy**: -20.927 eV/atom
**Energy relative to the elements, uncorrected**: -0.70 eV/atom

a b c (Å): 3.754 3.754 5.787
angles (deg): 90.00 90.00 90.00
Space group P4/mmm (No. 123)
One atom of each set of equivalent atoms:
1 Ga 0.000 0.000 0.000
2 Tc 0.000 0.000 0.500
3 Te 0.500 0.500 0.000
4 O 0.000 0.500 0.500

9.
VASP calculation (SCAN) on KCr2Cl at its PBEsol-relaxed geometry.

Computed properties:
**Calculated total energy**: -12.912 eV/atom
**Distance to the lowest polymorph of the same formula**: 1.29 eV per formula unit
**Energy relative to the elements, uncorrected**: 0.36 eV/atom

a b c (Å): 3.227 3.227 9.282
angles (deg): 90.00 90.00 90.00
Space group P4/mmm (No. 123)
One atom of each set of equivalent atoms:
1 K 0.000 0.000 0.000
2 Cr 0.500 0.500 0.316
3 Cl 0.000 0.000 0.500

10.
VASP calculation (SCAN) on CuNiH3 at its PBEsol-relaxed geometry.

Computed properties:
**Calculated total energy**: -8.163 eV/atom

a b c (Å): 3.168 3.168 3.168
angles (deg): 90.00 90.00 90.00
Space group Pm-3m (No. 221)
One atom of each set of equivalent atoms:
1 Cu 0.000 0.000 0.000
2 Ni 0.500 0.500 0.500
3 H 0.000 0.500 0.500

11.
VASP calculation (SCAN) on SrCrRh2Au at its PBEsol-relaxed geometry.

Computed properties:
**Calculated total energy**: -34.776 eV/atom
**Energy of formation**: 0.696 eV/atom

a b c (Å): 4.388 4.388 5.263
angles (deg): 90.00 90.00 90.00
Space group P4/mmm (No. 123)
One atom of each set of equivalent atoms:
1 Sr 0.000 0.000 0.000
2 Cr 0.000 0.000 0.500
3 Rh 0.000 0.500 0.500
4 Au 0.500 0.500 0.000

12.
VASP calculation (SCAN) on Eu2SeO2 at its PBEsol-relaxed geometry.

Computed properties:
**Calculated total energy**: -30.623 eV/atom
**Energy relative to the elements, uncorrected**: -2.63 eV/atom

a b c (Å): 3.865 3.865 12.317
angles (deg): 90.00 90.00 90.00
Space group I4/mmm (No. 139)
One atom of each set of equivalent atoms:
1 Eu 0.000 0.000 0.155
2 Se 0.000 0.000 0.500
3 O 0.000 0.500 0.250

13.
VASP calculation (SCAN) on Ta2HgIrC at its PBEsol-relaxed geometry.

Computed properties:
**Calculated total energy**: -55.396 eV/atom
**Energy of formation**: 1.110 eV/atom

a b c (Å): 5.010 5.010 3.736
angles (deg): 90.00 90.00 90.00
Space group P4/mmm (No. 123)
One atom of each set of equivalent atoms:
1 Ta 0.000 0.500 0.000
2 Hg 0.000 0.000 0.500
3 Ir 0.500 0.500 0.000
4 C 0.500 0.500 0.500

14.
VASP calculation (SCAN) on MgBiAs2Br at its PBEsol-relaxed geometry.

Computed properties:
**Calculated total energy**: -28.063 eV/atom
**Energy relative to the elements, uncorrected**: 0.62 eV/atom

a b c (Å): 5.411 5.411 5.511
angles (deg): 90.00 90.00 90.00
Space group P4/mmm (No. 123)
One atom of each set of equivalent atoms:
1 Mg 0.000 0.000 0.000
2 Bi 0.500 0.500 0.500
3 As 0.000 0.500 0.500
4 Br 0.500 0.500 0.000

15.
VASP calculation (SCAN) on CdPtPb2 at its PBEsol-relaxed geometry.

Computed properties:
**Calculated total energy**: -62.924 eV/atom
**Energy of formation**: 0.119 eV/atom

a b c (Å): 4.743 4.743 3.992
angles (deg): 90.00 90.00 90.00
Space group P4/mmm (No. 123)
One atom of each set of equivalent atoms:
1 Cd 0.000 0.000 0.000
2 Pt 0.500 0.500 0.000
3 Pb 0.000 0.500 0.500

16.
VASP calculation (SCAN) on CuRh2 at its PBEsol-relaxed geometry.

Computed properties:
**Calculated total energy**: -27.504 eV/atom
**Distance to the lowest polymorph of the same formula**: 0.09 eV per formula unit
**Energy of formation**: 0.077 eV/atom

a b c (Å): 2.666 2.666 10.906
angles (deg): 90.00 90.00 90.00
Space group I4/mmm (No. 139)
One atom of each set of equivalent atoms:
1 Cu 0.000 0.000 0.000
2 Rh 0.000 0.000 0.333

17.
VASP calculation (SCAN) on WC2 at its PBEsol-relaxed geometry.

Computed properties:
**Calculated total energy**: -29.296 eV/atom
**Distance to the lowest polymorph of the same formula**: 0.01 eV per formula unit
**Energy of formation**: 0.666 eV/atom

a b c (Å): 2.8852 2.8852 4.1588
angles (deg): 90.00 90.00 120.00
Space group P-6m2 (No. 187)
One atom of each set of equivalent atoms:
1 W 0.0000 0.0000 0.0000
2 C 0.3333 0.6667 0.3384

18.
VASP calculation (SCAN) on GaBiS2N at its PBEsol-relaxed geometry.

Computed properties:
**Calculated total energy**: -23.733 eV/atom
**Energy relative to the elements, uncorrected**: 0.96 eV/atom

a b c (Å): 5.196 5.196 4.337
angles (deg): 90.00 90.00 90.00
Space group P4/mmm (No. 123)
One atom of each set of equivalent atoms:
1 Ga 0.000 0.000 0.000
2 Bi 0.500 0.500 0.500
3 S 0.000 0.500 0.500
4 N 0.500 0.500 0.000

19.
VASP calculation (SCAN) on La2SiOs at its PBEsol-relaxed geometry.

Computed properties:
**Calculated total energy**: -42.525 eV/atom
**Energy relative to the elements, uncorrected**: -0.50 eV/atom

a b c (Å): 4.172 4.379 10.607
angles (deg): 90.00 90.00 90.00
Space group Amm2 (No. 38)
One atom of each set of equivalent atoms:
1 La 0.000 0.000 0.000
2 La 0.500 0.000 0.285
3 Si 0.500 0.000 0.587
4 Os 0.000 0.000 0.704

20.
VASP calculation (SCAN) on FePt2Rh at its PBEsol-relaxed geometry.

Computed properties:
**Calculated total energy**: -48.269 eV/atom
**Energy of formation**: -0.198 eV/atom

a b c (Å): 2.697 3.764 5.446
angles (deg): 90.00 90.00 90.00
Space group Pmm2 (No. 25)
One atom of each set of equivalent atoms:
1 Fe 0.000 0.000 0.000
2 Pt 0.000 0.000 0.513
3 Pt 0.500 0.500 0.244
4 Rh 0.500 0.500 0.762